No. 1
Here is an optimized crystal structure of SmThTeP from Alexandria. Energies are from PBE.

Structure (POSCAR):
```
SmThTeP
1.0
4.176 -0.001 0.000
-2.088 3.617 0.000
-2.088 -1.205 7.446
Sm Th Te P
1 1 1 1
direct
0.498 0.147 0.661
0.106 0.951 0.073
0.969 0.383 0.367
0.304 0.550 0.869
```

Space group ... R3m (160)
Crystal system ... trigonal
Formation energy from raw total energies ... -1466 meV per atom

***

No. 2
Here is an optimized crystal structure of Sm6TlTe3P2 from Alexandria. Energies are from PBE.

Structure (POSCAR):
```
Sm6TlTe3P2
1.0
4.256 0.000 0.000
0.000 8.861 0.242
-2.128 -2.629 9.148
Sm Tl Te P
6 1 3 2
direct
0.332 0.888 0.663
0.675 0.563 0.351
0.668 0.112 0.337
0.011 0.256 0.022
0.989 0.744 0.978
0.325 0.437 0.649
0.500 0.000 0.000
0.500 0.500 0.000
0.836 0.169 0.672
0.164 0.831 0.328
0.831 0.663 0.661
0.169 0.337 0.339
```

Space group ... C2/m (12)
Crystal system ... monoclinic
Formation energy from raw total energies ... -1314 meV per atom

***

No. 3
Here is an optimized crystal structure of SmTmTeP from Alexandria. Energies are from PBE.

Structure (POSCAR):
```
SmTmTeP
1.0
4.084 0.000 0.000
-2.041 3.537 0.000
-2.041 -1.179 7.301
Sm Tm Te P
1 1 1 1
direct
0.108 0.952 0.076
0.496 0.146 0.658
0.974 0.385 0.374
0.299 0.547 0.862
```

Space group ... R3m (160)
Crystal system ... trigonal
Formation energy from raw total energies ... -1493 meV per atom

***

No. 4
Here is an optimized crystal structure of Sm4ZnTe2P from Alexandria. Energies are from PBE.

Structure (POSCAR):
```
Sm4ZnTe2P
1.0
4.219 0.000 0.000
0.000 7.499 0.189
0.000 -2.562 7.099
Sm Zn Te P
4 1 2 1
direct
0.500 0.231 0.219
0.500 0.769 0.781
0.000 0.249 0.770
0.000 0.751 0.230
0.500 0.500 0.000
0.500 0.000 0.500
0.000 0.500 0.500
0.000 0.000 0.000
```

Space group ... P2/m (10)
Crystal system ... monoclinic
Formation energy from raw total energies ... -1161 meV per atom

***

No. 5
Here is an optimized crystal structure of Sm8ZnTe4P3 from Alexandria. Energies are from PBE.

Structure (POSCAR):
```
Sm8ZnTe4P3
1.0
-0.650 2.120 8.189
-8.645 0.397 -0.789
4.040 -7.119 -2.231
Sm Zn Te P
8 1 4 3
direct
0.243 0.721 0.978
0.243 0.721 0.487
0.263 0.289 0.526
0.734 0.721 0.978
0.266 0.279 0.022
0.737 0.711 0.474
0.757 0.279 0.513
0.757 0.279 0.022
0.000 0.500 0.000
0.500 0.000 0.000
0.500 0.000 0.500
0.000 0.000 0.000
0.000 0.000 0.500
0.500 0.500 0.000
0.500 0.500 0.500
0.000 0.500 0.500
```

Space group ... R-3m (166)
Crystal system ... trigonal
Formation energy from raw total energies ... -1368 meV per atom

***

No. 6
Here is an optimized crystal structure of Sm3Th5P8 from Alexandria. Energies are from PBE.

Structure (POSCAR):
```
Sm3Th5P8
1.0
-5.774 -3.304 -4.907
0.898 -7.718 -2.823
-4.871 -6.029 2.829
Sm Th P
3 5 8
direct
0.500 0.000 0.500
0.000 0.000 0.500
0.000 0.500 0.500
0.500 0.000 0.000
0.500 0.500 0.000
0.000 0.000 0.000
0.000 0.500 0.000
0.500 0.500 0.500
0.250 0.250 0.750
0.250 0.750 0.750
0.750 0.250 0.750
0.750 0.750 0.751
0.750 0.750 0.250
0.750 0.250 0.250
0.250 0.750 0.250
0.250 0.250 0.249
```

Space group ... R-3m (166)
Calculated formation energy ... -1571 meV/atom
Crystal system ... trigonal

***

No. 7
Here is an optimized crystal structure of Sm2ThP from Alexandria. Energies are from PBE.

Structure (POSCAR):
```
Sm2ThP
1.0
3.843 0.000 0.000
1.921 3.328 0.000
1.921 1.109 9.242
P Sm Th
1 2 1
direct
0.000 0.000 0.000
0.272 0.272 0.185
0.728 0.728 0.815
0.500 0.500 0.500
```

Space group ... R-3m (166)
Calculated formation energy ... -634 meV/atom
Crystal system ... trigonal

***

No. 8
Here is an optimized crystal structure of SmTh2P from Alexandria. Energies are from PBE.

Structure (POSCAR):
```
SmTh2P
1.0
3.862 0.000 0.000
1.931 3.344 0.000
1.931 1.115 9.512
Sm Th P
1 2 1
direct
0.500 0.500 0.499
0.062 0.062 0.814
0.271 0.271 0.188
0.667 0.667 0.000
```

Space group ... R3m (160)
Calculated formation energy ... -566 meV/atom
Crystal system ... trigonal

***

No. 9
Here is an optimized crystal structure of Sm2Th2P5 from Alexandria. Energies are from PBE.

Structure (POSCAR):
```
Sm2Th2P5
1.0
7.690 0.000 0.000
0.000 7.072 -4.006
0.000 -0.597 8.106
Sm Th P
4 4 10
direct
0.341 0.156 0.156
0.659 0.844 0.844
0.841 0.344 0.344
0.159 0.656 0.656
0.000 0.805 0.195
0.500 0.305 0.695
0.000 0.195 0.805
0.500 0.695 0.305
0.000 0.000 0.000
0.500 0.500 0.500
0.152 0.205 0.484
0.848 0.516 0.795
0.652 0.016 0.295
0.348 0.705 0.984
0.848 0.795 0.516
0.152 0.484 0.205
0.348 0.984 0.705
0.652 0.295 0.016
```

Space group ... Cmce (64)
Calculated formation energy ... -1287 meV/atom
Crystal system ... orthorhombic

***

No. 10
Here is an optimized crystal structure of SmTh2P3 from Alexandria. Energies are from PBE.

Structure (POSCAR):
```
SmTh2P3
1.0
-3.464 0.951 2.033
-3.135 -1.224 -4.769
2.773 -5.762 3.229
Sm Th P
1 2 3
direct
0.500 0.500 0.500
0.834 0.834 0.168
0.166 0.166 0.832
0.833 0.333 0.166
0.167 0.667 0.834
0.500 0.000 0.500
```

Space group ... Immm (71)
Calculated formation energy ... -1572 meV/atom
Crystal system ... orthorhombic

***

No. 11
Here is an optimized crystal structure of SmTh3P4 from Alexandria. Energies are from PBE.

Structure (POSCAR):
```
SmTh3P4
1.0
5.845 0.000 0.000
0.000 5.845 0.000
0.000 0.000 5.845
Sm Th P
1 3 4
direct
0.000 0.000 0.000
0.000 0.500 0.500
0.500 0.000 0.500
0.500 0.500 0.000
0.500 0.000 0.000
0.000 0.500 0.000
0.000 0.000 0.500
0.500 0.500 0.500
```

Space group ... Pm-3m (221)
Calculated formation energy ... -1569 meV/atom
Crystal system ... cubic

***

No. 12
Here is an optimized crystal structure of SmTh5P6 from Alexandria. Energies are from PBE.

Structure (POSCAR):
```
SmTh5P6
1.0
-6.640 1.420 -2.288
-4.646 -1.065 5.345
-1.662 5.383 4.426
P Th Sm
6 5 1
direct
0.750 0.083 0.333
0.250 0.584 0.333
0.250 0.250 0.000
0.750 0.750 0.000
0.750 0.416 0.667
0.250 0.917 0.667
0.500 0.166 0.668
0.000 0.334 0.333
0.500 0.500 0.000
0.000 0.666 0.667
0.500 0.834 0.332
0.000 0.000 0.000
```

Space group ... C2/m (12)
Calculated formation energy ... -1559 meV/atom
Crystal system ... monoclinic

***

No. 13
Here is an optimized crystal structure of SmThP from Alexandria. Energies are from PBE.

Structure (POSCAR):
```
SmThP
1.0
-3.602 4.887 2.669
-1.274 -2.470 2.804
3.287 2.110 0.573
P Sm Th
1 1 1
direct
0.997 0.000 0.000
0.747 0.667 0.333
0.256 0.333 0.667
```

Space group ... P3m1 (156)
Calculated formation energy ... -849 meV/atom
Crystal system ... trigonal

***

No. 14
Here is an optimized crystal structure of Sm3TmTh2P6 from Alexandria. Energies are from PBE.

Structure (POSCAR):
```
Sm3TmTh2P6
1.0
4.103 0.000 0.000
0.000 8.181 0.284
-2.052 -2.366 8.613
Sm Tm Th P
3 1 2 6
direct
0.500 0.500 0.000
0.834 0.166 0.668
0.166 0.834 0.332
0.500 0.000 0.000
0.836 0.670 0.671
0.164 0.330 0.329
0.336 0.919 0.672
0.667 0.583 0.334
0.664 0.081 0.328
0.000 0.243 0.999
0.000 0.757 0.001
0.333 0.417 0.666
```

Space group ... C2/m (12)
Calculated formation energy ... -1583 meV/atom
Crystal system ... monoclinic

***

No. 15
Here is an optimized crystal structure of SmTm3Th2P6 from Alexandria. Energies are from PBE.

Structure (POSCAR):
```
SmTm3Th2P6
1.0
4.053 0.000 0.000
0.000 8.056 0.311
-2.026 -2.299 8.490
Sm Tm Th P
1 3 2 6
direct
0.500 0.000 0.000
0.500 0.500 0.000
0.834 0.166 0.669
0.166 0.834 0.331
0.835 0.669 0.669
0.165 0.331 0.331
0.331 0.923 0.662
0.665 0.589 0.329
0.669 0.077 0.338
0.998 0.256 0.995
0.002 0.744 0.005
0.335 0.411 0.671
```

Space group ... C2/m (12)
Calculated formation energy ... -1586 meV/atom
Crystal system ... monoclinic

***

No. 16
Here is an optimized crystal structure of SmTmTh2P4 from Alexandria. Energies are from PBE.

Structure (POSCAR):
```
SmTmTh2P4
1.0
4.099 0.000 0.000
0.000 7.045 -0.116
0.000 2.502 6.647
Sm Tm Th P
1 1 2 4
direct
0.500 0.500 0.000
0.000 0.500 0.500
0.000 0.000 0.000
0.500 0.000 0.500
0.000 0.746 0.747
0.000 0.254 0.253
0.500 0.743 0.257
0.500 0.257 0.743
```

Space group ... P2/m (10)
Calculated formation energy ... -1568 meV/atom
Crystal system ... monoclinic

***

No. 17
Here is an optimized crystal structure of SmTm2ThP4 from Alexandria. Energies are from PBE.

Structure (POSCAR):
```
SmTm2ThP4
1.0
-3.780 -1.422 0.253
1.694 -5.261 -4.251
2.292 -5.421 3.789
Sm Tm Th P
1 2 1 4
direct
0.500 0.500 0.000
0.000 0.000 0.000
0.500 0.000 0.500
0.000 0.500 0.500
0.000 0.760 0.746
0.000 0.240 0.254
0.500 0.761 0.246
0.500 0.239 0.754
```

Space group ... P2/m (10)
Calculated formation energy ... -1596 meV/atom
Crystal system ... monoclinic

***

No. 18
Here is an optimized crystal structure of Sm2TmThP4 from Alexandria. Energies are from PBE.

Structure (POSCAR):
```
Sm2TmThP4
1.0
4.086 0.000 0.000
0.000 7.075 -0.146
0.000 2.484 6.598
Sm Tm Th P
2 1 1 4
direct
0.000 0.000 0.000
0.500 0.000 0.500
0.000 0.500 0.500
0.500 0.500 0.000
0.000 0.747 0.746
0.000 0.253 0.254
0.500 0.743 0.256
0.500 0.257 0.744
```

Space group ... P2/m (10)
Calculated formation energy ... -1590 meV/atom
Crystal system ... monoclinic

***

No. 19
Here is an optimized crystal structure of Sm2ThUP4 from Alexandria. Energies are from PBE.

Structure (POSCAR):
```
Sm2ThUP4
1.0
-1.018 -0.588 -3.897
-0.092 -6.966 1.075
-6.435 2.657 1.281
Sm Th U P
2 1 1 4
direct
0.500 0.000 0.500
0.000 0.500 0.500
0.500 0.500 0.000
0.000 0.000 0.000
0.500 0.240 0.241
0.500 0.760 0.759
0.000 0.244 0.755
0.000 0.756 0.245
```

Space group ... P2/m (10)
Calculated formation energy ... -1411 meV/atom
Crystal system ... monoclinic

***

No. 20
Here is an optimized crystal structure of SmTh2UP4 from Alexandria. Energies are from PBE.

Structure (POSCAR):
```
SmTh2UP4
1.0
-1.936 5.376 0.876
0.614 -0.708 5.704
6.067 -0.333 -3.623
Sm Th U P
1 2 1 4
direct
0.500 0.500 0.000
0.250 0.750 0.500
0.000 0.000 0.000
0.750 0.250 0.500
0.993 0.493 0.986
0.507 0.007 0.014
0.749 0.749 0.499
0.251 0.251 0.501
```

Space group ... I-4m2 (119)
Calculated formation energy ... -1400 meV/atom
Crystal system ... tetragonal

***

Table of D(E_F) (states/eV/cell), in record order: 0.6, 4.2, 2.5, 6.4, 7.9, 7.5, 4.3, 4.8, 10.5, 2.4, 2.9, 6.2, 2.0, 3.8, 3.7, 3.8, 1.5, 1.5, 7.7, 7.8